# NaZr2SnP

A relaxed structure of NaZr2SnP (PBEsol, the Alexandria database).

## Properties
Crystal system: tetragonal
E_tot in eV per atom: -4.566
Space group: P4/mmm, No. 123
Calculated formation energy in meV per atom: 1360
Total moment in μB/cell: 0.00

Lattice parameters (Å, degrees): 4.7389 4.9517 4.9517 90.00 90.00 90.00
Closest atoms and distances in Å follow each position.
Fractional coordinates of all 5 atoms:
Sn  0.5000  0.0000  0.0000  2 Na 2.37
Zr  0.0000  0.5000  0.0000  2 Na 2.48
Zr  0.0000  0.0000  0.5000  2 Na 2.48
P  0.5000  0.5000  0.5000  8 Zr 3.43, 4 Sn 3.50
Na  0.0000  0.0000  0.0000  2 Sn 2.37, 4 Zr 2.48

***

# SmH18I3O9

A relaxed structure of SmH18I3O9 (PBEsol, the Alexandria database).

## Properties
Crystal system: orthorhombic
E_tot in eV per atom: -4.906
Space group: Pmmn, No. 59
Total moment in μB/cell: 0.00

Lattice parameters (Å, degrees): 7.7000 9.0460 11.2420 90.00 90.00 90.00
Closest atoms and distances in Å follow each position.
Fractional coordinates of all 62 atoms:
H  0.0000  0.7574  0.7725  1 O 0.99
H  0.2939  0.4858  0.6034  1 O 0.99
H  0.7048  0.6351  0.3228  1 O 0.99
H  0.2939  0.4858  0.3966  1 O 0.99
H  0.7068  0.8742  0.4295  1 O 0.99
H  0.5000  0.6716  0.0708  1 O 0.99
H  0.7061  0.4858  0.6034  1 O 0.99
H  0.2932  0.8742  0.4295  1 O 0.99
H  0.5000  0.2426  0.2725  1 O 0.99
H  0.7061  0.4858  0.3966  1 O 0.99
H  0.2932  0.8742  0.5705  1 O 0.99
H  0.2061  0.5142  0.1034  1 O 0.99
H  0.5000  0.0931  0.2000  1 O 0.99
H  0.2048  0.3649  0.1772  1 O 0.99
H  0.2061  0.5142  0.8966  1 O 0.99
H  0.2068  0.1258  0.0705  1 O 0.99
H  0.2952  0.6351  0.6772  1 O 0.99
H  0.5000  0.0931  0.8000  1 O 0.99
H  0.0000  0.9069  0.3000  1 O 0.99
H  0.2068  0.1258  0.9295  1 O 0.99
H  0.0000  0.3284  0.4292  1 O 0.99
H  0.5000  0.2426  0.7275  1 O 0.99
H  0.7952  0.3649  0.8228  1 O 0.99
H  0.7939  0.5142  0.1034  1 O 0.99
H  0.2048  0.3649  0.8228  1 O 0.99
H  0.7932  0.1258  0.0705  1 O 0.99
H  0.5000  0.6716  0.9292  1 O 0.99
H  0.7932  0.1258  0.9295  1 O 0.99
H  0.7952  0.3649  0.1772  1 O 0.99
H  0.0000  0.3284  0.5708  1 O 0.99
H  0.0000  0.9069  0.7000  1 O 0.99
H  0.7048  0.6351  0.6772  1 O 0.99
H  0.0000  0.7574  0.2275  1 O 0.99
H  0.2952  0.6351  0.3228  1 O 0.99
H  0.7068  0.8742  0.5705  1 O 0.99
H  0.7939  0.5142  0.8966  1 O 0.99
O  0.7183  0.4332  0.8674  2 H 0.99
O  0.5000  0.6064  0.0000  2 H 0.99
O  0.5000  0.2023  0.1909  2 H 0.99
O  0.5000  0.2023  0.8091  2 H 0.99
O  0.7817  0.5668  0.6326  2 H 0.99
O  0.0000  0.7977  0.3091  2 H 0.99
O  0.2832  0.1352  0.0000  2 H 0.99
O  0.7183  0.4332  0.1326  2 H 0.99
O  0.2183  0.5668  0.3674  2 H 0.99
O  0.7832  0.8648  0.5000  2 H 0.99
O  0.2168  0.8648  0.5000  2 H 0.99
O  0.0000  0.7977  0.6909  2 H 0.99
O  0.2817  0.4332  0.1326  2 H 0.99
O  0.7168  0.1352  0.0000  2 H 0.99
O  0.7817  0.5668  0.3674  2 H 0.99
O  0.2817  0.4332  0.8674  2 H 0.99
O  0.2183  0.5668  0.6326  2 H 0.99
O  0.0000  0.3936  0.5000  2 H 0.99
Sm  0.0000  0.6665  0.5000  9 O 2.42-2.47
Sm  0.5000  0.3335  0.0000  9 O 2.42-2.47
I  0.0000  0.1684  0.7531  6 H 2.44-2.57
I  0.5000  0.8316  0.7469  6 H 2.44-2.57
I  0.0000  0.1684  0.2469  6 H 2.44-2.57
I  0.0000  0.6923  0.0000  6 H 2.54-2.62
I  0.5000  0.8316  0.2531  6 H 2.44-2.57
I  0.5000  0.3077  0.5000  6 H 2.54-2.62

***

# Cr3AsN

A relaxed structure of Cr3AsN (PBEsol, the Alexandria database).

## Properties
Crystal system: cubic
E_form (uncorrected) in eV/atom: -0.27
E_tot in eV per atom: -9.138
Space group: Pm-3m, No. 221
Total moment in μB/cell: 1.99

Lattice parameters (Å, degrees): 3.7851 3.7851 3.7851 90.00 90.00 90.00
Closest atoms and distances in Å follow each position.
Fractional coordinates of all 5 atoms:
Cr  0.5000  0.0000  0.0000  2 N 1.89
Cr  0.0000  0.0000  0.5000  2 N 1.89
Cr  0.0000  0.5000  0.0000  2 N 1.89
As  0.5000  0.5000  0.5000  12 Cr 2.68
N  0.0000  0.0000  0.0000  6 Cr 1.89

***

# LiAlP

A relaxed structure of LiAlP (PBEsol, the Alexandria database).

## Properties
Crystal system: tetragonal
E_tot in eV per atom: -4.123
Space group: I4mm, No. 107
Calculated formation energy in meV per atom: -173
Total moment in μB/cell: 0.00

Lattice parameters (Å, degrees): 3.3479 3.3479 4.9465 109.78 109.78 90.00
Closest atoms and distances in Å follow each position.
Fractional coordinates of all 3 atoms:
Li  0.3315  0.3315  0.6629  1 Al 2.59, 1 P 2.63
P  0.6347  0.6347  0.2694  4 Al 2.52, 1 Li 2.63
Al  0.0339  0.0339  0.0677  4 P 2.52, 1 Li 2.59